{"formula": "BaGaCoF2", "functional": "GGA+U", "state": "relaxed", "cell": [[4.820, 0.000, 0.000], [0.000, 4.820, 0.000], [0.000, 0.000, 8.529]], "species": ["Ba", "Ga", "Co", "F", "F"], "fractional_positions": [[0.000, 0.000, 0.000], [0.000, 0.000, 0.500], [0.500, 0.500, 0.500], [0.000, 0.500, 0.000], [0.500, 0.000, 0.000]], "total_energy_ev_per_atom": -3.96, "rho_g_cm3": 2.55, "magnetic_moment_mub_per_fu": 2.07}